Entry 1:
{"formula": "Pm3Be2SiPd9", "functional": "PBE-GGA", "state": "optimized geometry", "lattice": [[5.9504, 0.0000, 0.0000], [-2.9752, 5.1532, 0.0000], [0.0000, 0.0000, 8.8001]], "species": ["Pm", "Pm", "Pm", "Be", "Be", "Si", "Pd", "Pd", "Pd", "Pd", "Pd", "Pd", "Pd", "Pd", "Pd"], "frac_coords": [[0.0000, 0.0000, 0.0000], [0.3333, 0.6667, 0.6489], [0.6667, 0.3333, 0.3511], [0.3333, 0.6667, 0.1537], [0.6667, 0.3333, 0.8463], [0.0000, 0.0000, 0.5000], [0.0000, 0.5000, 0.0000], [0.1630, 0.3261, 0.3017], [0.1630, 0.8370, 0.3017], [0.3261, 0.1630, 0.6983], [0.5000, 0.0000, 0.0000], [0.5000, 0.5000, 0.0000], [0.6739, 0.8370, 0.3017], [0.8370, 0.1630, 0.6983], [0.8370, 0.6739, 0.6983]], "m_tot_mub_per_fu": 0.000, "formation_energy_uncorrected_ev_per_atom": -0.68, "energy_ev_per_atom": -5.606}

=====

Entry 2:
{"formula": "Tb5Ho12Er", "functional": "PBE-GGA", "state": "optimized geometry", "lattice": [[9.1536, -5.2830, 0.0000], [9.1536, 5.2830, 0.0000], [-2.0209, 0.0000, 5.7633]], "species": ["Tb", "Tb", "Tb", "Tb", "Tb", "Ho", "Ho", "Ho", "Ho", "Ho", "Ho", "Ho", "Ho", "Ho", "Ho", "Ho", "Ho", "Er"], "frac_coords": [[0.0000, 0.0000, 0.0000], [0.1667, 0.1667, 0.5004], [0.3336, 0.3336, 0.0005], [0.6664, 0.6664, 0.9995], [0.8333, 0.8333, 0.4996], [0.9997, 0.3336, 0.0005], [0.0003, 0.6664, 0.9995], [0.1669, 0.5002, 0.5001], [0.1673, 0.8327, 0.5000], [0.3336, 0.9997, 0.0005], [0.3335, 0.6665, 0.0000], [0.5002, 0.1669, 0.5001], [0.4998, 0.8331, 0.4999], [0.6664, 0.0003, 0.9995], [0.6665, 0.3335, 0.0000], [0.8327, 0.1673, 0.5000], [0.8331, 0.4998, 0.4999], [0.5000, 0.5000, 0.5000]], "m_tot_mub_per_fu": 0.000, "formation_energy_ev_per_atom": 0.020, "energy_ev_per_atom": -4.572}

=====

Entry 3:
{"formula": "Li4CaGa", "functional": "PBE-GGA", "state": "optimized geometry", "lattice": [[-3.2453, 3.2453, 6.5756], [3.2453, -3.2453, 6.5756], [3.2453, 3.2453, -6.5756]], "species": ["Li", "Li", "Li", "Li", "Li", "Li", "Li", "Li", "Ca", "Ca", "Ga", "Ga"], "frac_coords": [[0.0086, 0.5086, 0.1881], [0.1795, 0.9914, 0.5000], [0.3205, 0.8205, 0.8119], [0.4914, 0.6795, 0.5000], [0.5086, 0.3205, 0.5000], [0.6795, 0.1795, 0.1881], [0.8205, 0.0086, 0.5000], [0.9914, 0.4914, 0.8119], [0.0000, 0.0000, 0.0000], [0.5000, 0.5000, 0.0000], [0.2500, 0.2500, 0.0000], [0.7500, 0.7500, 0.0000]], "m_tot_mub_per_fu": 0.000, "formation_energy_ev_per_atom": -0.069, "relative_energy_ev_per_fu": 0.43, "energy_ev_per_atom": -2.183}

=====

Entry 4:
{"formula": "PmNd2Sm4Er", "functional": "PBE-GGA", "state": "optimized geometry", "lattice": [[6.8838, -6.6916, 0.0000], [6.8838, 6.6916, 0.0000], [-3.4424, 0.0000, 5.9872]], "species": ["Pm", "Pm", "Nd", "Nd", "Nd", "Nd", "Sm", "Sm", "Sm", "Sm", "Sm", "Sm", "Sm", "Sm", "Er", "Er"], "frac_coords": [[0.0000, 0.5000, 0.0000], [0.5000, 0.0000, 0.5000], [0.0000, 0.0000, 0.0000], [0.0000, 0.0000, 0.5000], [0.0000, 0.5000, 0.5000], [0.5000, 0.0000, 0.0000], [0.2539, 0.2544, 0.0283], [0.2544, 0.2539, 0.5283], [0.2551, 0.7434, 0.4992], [0.2566, 0.7449, 0.0008], [0.7434, 0.2551, 0.9992], [0.7449, 0.2566, 0.5008], [0.7456, 0.7461, 0.4717], [0.7461, 0.7456, 0.9717], [0.5000, 0.5000, 0.0000], [0.5000, 0.5000, 0.5000]], "m_tot_mub_per_fu": 0.002, "formation_energy_ev_per_atom": 0.390, "energy_ev_per_atom": -4.326}

=====

Entry 5:
{"formula": "Sr3TiRuO7", "functional": "PBE-GGA", "state": "optimized geometry", "lattice": [[-1.9636, 1.9636, 10.3617], [1.9636, -1.9636, 10.3617], [1.9636, 1.9636, -10.3617]], "species": ["Sr", "Sr", "Sr", "Ti", "Ru", "O", "O", "O", "O", "O", "O", "O"], "frac_coords": [[0.0000, 0.0000, 0.0000], [0.1823, 0.1823, 0.0000], [0.8116, 0.8116, 0.0000], [0.5959, 0.5959, 0.0000], [0.4005, 0.4005, 0.0000], [0.0946, 0.5946, 0.5000], [0.3005, 0.3005, 0.0000], [0.4010, 0.9010, 0.5000], [0.4998, 0.4998, 0.0000], [0.5946, 0.0946, 0.5000], [0.6911, 0.6911, 0.0000], [0.9010, 0.4010, 0.5000]], "m_tot_mub_per_fu": 0.000, "formation_energy_uncorrected_ev_per_atom": -2.52, "energy_ev_per_atom": -7.261}

=====

Entry 6:
{"formula": "CeTmTePb", "functional": "PBE-GGA", "state": "optimized geometry", "lattice": [[2.2332, 1.2894, 7.2422], [-2.2332, 1.2894, 7.2422], [0.0000, -2.5787, 7.2422]], "species": ["Ce", "Tm", "Te", "Pb"], "frac_coords": [[0.0000, 0.0000, 0.0000], [0.4954, 0.4954, 0.4954], [0.2437, 0.2437, 0.2437], [0.7509, 0.7509, 0.7509]], "m_tot_mub_per_fu": 0.820, "formation_energy_uncorrected_ev_per_atom": -0.85, "relative_energy_ev_per_fu": 0.00, "energy_ev_per_atom": -5.168}

=====

Entry 7:
{"formula": "InW", "functional": "PBE-GGA", "state": "optimized geometry", "lattice": [[1.4866, 0.8583, 4.8435], [-1.4866, 0.8583, 4.8435], [0.0000, -1.7166, 4.8435]], "species": ["In", "W"], "frac_coords": [[0.0000, 0.0000, 0.0000], [0.5000, 0.5000, 0.5000]], "m_tot_mub_per_fu": 0.000, "formation_energy_ev_per_atom": 0.691, "relative_energy_ev_per_fu": 0.58, "energy_ev_per_atom": -7.155}

=====

Entry 8:
{"formula": "CePmTh2N4", "functional": "PBE-GGA", "state": "optimized geometry", "lattice": [[6.2746, 0.0000, 0.0000], [0.0000, 3.6351, 0.0000], [-2.1050, 0.0000, 5.9412]], "species": ["Ce", "Pm", "Th", "Th", "N", "N", "N", "N"], "frac_coords": [[0.0000, 0.0000, 0.0000], [0.0000, 0.5000, 0.5000], [0.5000, 0.0000, 0.5000], [0.5000, 0.5000, 0.0000], [0.2527, 0.5000, 0.2472], [0.2571, 0.0000, 0.7569], [0.7429, 0.0000, 0.2431], [0.7473, 0.5000, 0.7528]], "m_tot_mub_per_fu": 0.013, "formation_energy_uncorrected_ev_per_atom": -1.54, "energy_ev_per_atom": -8.893}

=====

Entry 9:
{"formula": "CdS2O7", "functional": "PBE-GGA", "state": "optimized geometry", "lattice": [[5.3170, 0.0000, 0.0000], [0.0000, 13.2668, 0.0000], [-5.1423, 0.0000, 8.5011]], "species": ["Cd", "Cd", "Cd", "Cd", "S", "S", "S", "S", "S", "S", "S", "S", "O", "O", "O", "O", "O", "O", "O", "O", "O", "O", "O", "O", "O", "O", "O", "O", "O", "O", "O", "O", "O", "O", "O", "O", "O", "O", "O", "O"], "frac_coords": [[0.1243, 0.1502, 0.3283], [0.1243, 0.3498, 0.8283], [0.8757, 0.6502, 0.1717], [0.8757, 0.8498, 0.6717], [0.2870, 0.6865, 0.5860], [0.2870, 0.8135, 0.0860], [0.3729, 0.0260, 0.6924], [0.3729, 0.4740, 0.1924], [0.6271, 0.5260, 0.8076], [0.6271, 0.9740, 0.3076], [0.7130, 0.1865, 0.9140], [0.7130, 0.3135, 0.4140], [0.0253, 0.6759, 0.4307], [0.0253, 0.8241, 0.9307], [0.1838, 0.5100, 0.2486], [0.1838, 0.9900, 0.7486], [0.2379, 0.7445, 0.6951], [0.2379, 0.7555, 0.1951], [0.2485, 0.1110, 0.5841], [0.2485, 0.3890, 0.0841], [0.3302, 0.5684, 0.6484], [0.3302, 0.9316, 0.1484], [0.4447, 0.2130, 0.9119], [0.4447, 0.2870, 0.4119], [0.4914, 0.5537, 0.1407], [0.4914, 0.9463, 0.6407], [0.5086, 0.0537, 0.3593], [0.5086, 0.4463, 0.8593], [0.5553, 0.7130, 0.5881], [0.5553, 0.7870, 0.0881], [0.6698, 0.0684, 0.8516], [0.6698, 0.4316, 0.3516], [0.7515, 0.6110, 0.9159], [0.7515, 0.8890, 0.4159], [0.7621, 0.2445, 0.8049], [0.7621, 0.2555, 0.3049], [0.8162, 0.0100, 0.2514], [0.8162, 0.4900, 0.7514], [0.9747, 0.1759, 0.0693], [0.9747, 0.3241, 0.5693]], "m_tot_mub_per_fu": 0.000, "formation_energy_uncorrected_ev_per_atom": -1.29, "energy_ev_per_atom": -5.673}

=====

Entry 10:
{"formula": "Dy3Be2Ge3", "functional": "PBE-GGA", "state": "optimized geometry", "lattice": [[2.0184, -5.3764, 0.0000], [2.0184, 5.3764, 0.0000], [0.0000, 0.0000, 13.9486]], "species": ["Dy", "Dy", "Dy", "Dy", "Dy", "Dy", "Be", "Be", "Be", "Be", "Ge", "Ge", "Ge", "Ge", "Ge", "Ge"], "frac_coords": [[0.0697, 0.9303, 0.6104], [0.0697, 0.9303, 0.8896], [0.3565, 0.6435, 0.7500], [0.6435, 0.3565, 0.2500], [0.9303, 0.0697, 0.1104], [0.9303, 0.0697, 0.3896], [0.2280, 0.7720, 0.1028], [0.2280, 0.7720, 0.3972], [0.7720, 0.2280, 0.6028], [0.7720, 0.2280, 0.8972], [0.3496, 0.6504, 0.2500], [0.3582, 0.6418, 0.5437], [0.3582, 0.6418, 0.9563], [0.6418, 0.3582, 0.0437], [0.6418, 0.3582, 0.4563], [0.6504, 0.3496, 0.7500]], "m_tot_mub_per_fu": 0.002, "formation_energy_ev_per_atom": -0.604, "energy_ev_per_atom": -4.993}

=====

Entry 11:
{"formula": "LiTlPb2Br6", "functional": "PBE-GGA", "state": "optimized geometry", "lattice": [[3.8335, 2.2133, 6.9637], [-3.8335, 2.2133, 6.9637], [0.0000, -4.4266, 6.9637]], "species": ["Li", "Tl", "Pb", "Pb", "Br", "Br", "Br", "Br", "Br", "Br"], "frac_coords": [[0.0000, 0.0000, 0.0000], [0.5189, 0.5189, 0.5189], [0.3224, 0.3224, 0.3224], [0.8096, 0.8096, 0.8096], [0.0845, 0.3878, 0.7475], [0.1813, 0.9496, 0.6163], [0.3878, 0.7475, 0.0845], [0.6163, 0.1813, 0.9496], [0.7475, 0.0845, 0.3878], [0.9496, 0.6163, 0.1813]], "m_tot_mub_per_fu": 0.000, "formation_energy_uncorrected_ev_per_atom": -1.00, "energy_ev_per_atom": -3.178}

=====

Entry 12:
{"formula": "GdPuAg", "functional": "PBE-GGA", "state": "optimized geometry", "lattice": [[-1.7785, 1.7785, 6.3385], [1.7785, -1.7785, 6.3385], [1.7785, 1.7785, -6.3385]], "species": ["Gd", "Pu", "Ag"], "frac_coords": [[0.0000, 0.0000, 0.0000], [0.6983, 0.6983, 0.0000], [0.3544, 0.3544, 0.0000]], "m_tot_mub_per_fu": 1.002, "formation_energy_ev_per_atom": 0.049, "energy_ev_per_atom": -10.373}